Version 1
PmSmZnPt (PBE, relaxed); total magnetic moment = 0.000 μB per formula unit; SG = Amm2; density of states at the Fermi level = 0.726 states/eV per atom
1.0
3.927 0.000 0.000
0.000 4.542 0.000
-1.964 0.000 5.474
Pm Sm Zn Pt
1 1 1 1
Direct
0.859 0.500 0.718 Pm
0.138 0.000 0.275 Sm
0.575 0.500 0.149 Zn
0.429 0.000 0.858 Pt



Version 2
PmSmZnPt (PBE, relaxed); total magnetic moment = 0.000 μB per formula unit; SG = F-43m; density of states at the Fermi level = 0.732 states/eV per atom
1.0
5.105 0.000 0.000
2.552 4.421 0.000
2.552 1.474 4.168
Zn Sm Pt Pm
1 1 1 1
Direct
0.250 0.250 0.250 Zn
0.000 0.000 0.000 Sm
0.750 0.750 0.750 Pt
0.500 0.500 0.500 Pm



Computed energies relative to the best structure, in meV per atom: version 1 0; version 2 51



Version 1
PmSn3Pt (PBE, relaxed); total magnetic moment = 0.000 μB per formula unit; SG = C2/m; density of states at the Fermi level = 0.383 states/eV per atom
1.0
-3.736 2.495 1.075
0.816 -3.076 9.972
5.105 2.487 2.045
Pm Sn Pt
2 6 2
Direct
0.890 0.212 0.780 Pm
0.110 0.788 0.220 Pm
0.625 0.026 0.251 Sn
0.375 0.974 0.749 Sn
0.344 0.484 0.687 Sn
0.656 0.516 0.313 Sn
0.177 0.263 0.354 Sn
0.823 0.737 0.646 Sn
0.560 0.294 0.121 Pt
0.440 0.706 0.879 Pt



Version 2
PmSn3Pt (PBE, relaxed); total magnetic moment = 0.000 μB per formula unit; SG = Pnma; density of states at the Fermi level = 0.328 states/eV per atom
1.0
4.553 0.000 0.000
0.000 9.248 0.000
0.000 0.000 12.046
Pm Sn Pt
4 12 4
Direct
0.750 0.828 0.050 Pm
0.250 0.672 0.550 Pm
0.750 0.328 0.450 Pm
0.250 0.172 0.950 Pm
0.250 0.587 0.065 Sn
0.750 0.413 0.935 Sn
0.250 0.087 0.435 Sn
0.750 0.913 0.565 Sn
0.250 0.314 0.656 Sn
0.750 0.186 0.156 Sn
0.250 0.814 0.844 Sn
0.750 0.541 0.698 Sn
0.250 0.459 0.302 Sn
0.750 0.041 0.802 Sn
0.750 0.686 0.344 Sn
0.250 0.959 0.198 Sn
0.250 0.017 0.670 Pt
0.250 0.517 0.830 Pt
0.750 0.483 0.170 Pt
0.750 0.983 0.330 Pt



Computed energies relative to the best structure, in meV per atom: version 1 0; version 2 67